CaUMn2O6: optimized geometry, PBE with a Hubbard U.

abc: 4.4602 5.9965 5.9965
angles: 90.00 90.00 90.00
Sites, in units of the cell vectors:
O 0.7409 0.2379 0.7621
O 0.7409 0.7621 0.2379
O 0.7409 0.7621 0.7621
Mn 0.9360 0.0000 0.5000
Ca 0.6108 0.5000 0.5000
U 0.6761 0.0000 0.0000
O 0.1292 0.5000 0.5000
O 0.7409 0.2379 0.2379
Mn 0.9360 0.5000 0.0000
O 0.1950 0.0000 0.0000

## Properties
total moment = 9.80 μB/f.u.
calculated volume = 160 Å³/cell
E = -7.90 eV/atom